# 1
12
Lattice="6.394 0.000 0.000 0.000 3.889 0.000 0.000 0.000 7.188" Properties=species:S:1:pos:R:3 comment="HfFeAs (PBE, optimized geometry)" final_energy_ev_per_atom=-8.35 space_group=Pnma pbc="T T T"
Hf 0.100 0.972 1.355
Hf 3.097 2.917 4.949
Hf 3.297 0.972 2.239
Hf 6.294 2.917 5.833
Fe 0.953 0.972 4.045
Fe 2.244 2.917 0.451
Fe 4.150 0.972 6.737
Fe 5.441 2.917 3.143
As 1.428 2.917 2.766
As 1.769 0.972 6.360
As 4.625 2.917 0.828
As 4.966 0.972 4.422

---

# 2
4
Lattice="0.000 3.286 3.286 3.286 0.000 3.286 3.286 3.286 0.000" Properties=species:S:1:pos:R:3 comment="HfFeHgAs (PBE, optimized geometry)" space_group=F-43m relative_energy_mev_per_atom=201 pbc="T T T"
Hf 0.000 0.000 0.000
Fe 4.928 4.928 4.928
Hg 1.643 1.643 1.643
As 3.286 3.286 3.286

---

# 3
4
Lattice="0.000 3.282 3.282 3.282 0.000 3.282 3.282 3.282 0.000" Properties=species:S:1:pos:R:3 comment="HfFeHgAs (PBE, optimized geometry)" space_group=F-43m relative_energy_mev_per_atom=0 pbc="T T T"
Hf 0.000 0.000 0.000
Fe 3.282 3.282 3.282
Hg 4.923 4.923 4.923
As 1.641 1.641 1.641